1.
Computed, not measured: a geometry-optimized Cs2YMoAs structure at the PBE level of DFT.

Output
The calculation puts the total moment at 3.89 μB/f.u. The calculation puts the density of states at the Fermi level at 1.053 states/eV per atom. The calculation puts the total DFT energy (no corrections) at -3.28 eV per atom.

Cell and atoms, written as POSCAR:
```
Cs2YMoAs
1.0
7.213 0.000 0.000
0.000 7.213 0.000
0.000 0.000 5.003
Cs Y Mo As
2 1 1 1
Cartesian
0.000 3.606 0.000 Cs
3.606 0.000 0.000 Cs
0.000 0.000 0.000 Y
0.000 0.000 2.502 Mo
3.606 3.606 2.502 As
```



2.
Computed, not measured: a geometry-optimized Cs2AsN structure at the PBE level of DFT.

Output
The calculation puts the total moment at 4.00 μB/f.u. The calculation puts the density of states at the Fermi level at 1.189 states/eV per atom. The calculation puts the total DFT energy (no corrections) at -2.76 eV per atom.

Cell and atoms, written as POSCAR:
```
Cs2AsN
1.0
0.000 4.246 4.246
4.246 0.000 4.246
4.246 4.246 0.000
Cs As N
2 1 1
Cartesian
2.123 2.123 2.123 Cs
6.370 6.370 6.370 Cs
0.000 0.000 0.000 As
4.246 4.246 4.246 N
```



3.
Computed, not measured: a geometry-optimized CsAsN2 structure at the PBE level of DFT.

Output
The calculation puts the total moment at 0.00 μB/f.u. The value obtained for the offset from the most stable computed form is 0.000 eV/atom. The calculation puts the density of states at the Fermi level at 0.000 states/eV per atom. The calculation puts the total DFT energy (no corrections) at -5.24 eV per atom.

Cell and atoms, written as POSCAR:
```
CsAsN2
1.0
-2.977 2.977 3.959
2.977 -2.977 3.959
2.977 2.977 -3.959
Cs As N
2 2 4
Cartesian
0.000 0.000 0.000 Cs
0.000 2.977 1.980 Cs
2.977 0.000 1.980 As
0.000 0.000 3.959 As
1.488 2.485 -0.990 N
3.469 1.488 0.990 N
1.488 0.492 2.970 N
-0.492 1.488 4.949 N
```



4.
Computed, not measured: a geometry-optimized CsAsN2 structure at the PBE level of DFT.

Output
The calculation puts the total moment at 0.00 μB/f.u. The value obtained for the offset from the most stable computed form is 0.697 eV/atom. The calculation puts the density of states at the Fermi level at 0.620 states/eV per atom. The calculation puts the total DFT energy (no corrections) at -4.54 eV per atom.

Cell and atoms, written as POSCAR:
```
CsAsN2
1.0
1.602 0.925 7.657
-1.602 0.925 7.657
0.000 -1.849 7.657
Cs As N
1 1 2
Cartesian
0.000 0.000 0.000 Cs
0.000 0.000 11.485 As
0.000 0.000 2.841 N
0.000 0.000 20.129 N
```



5.
Computed, not measured: a geometry-optimized Cs3AsN structure at the PBE level of DFT.

Output
The calculation puts the total moment at 3.00 μB/f.u. The calculation puts the density of states at the Fermi level at 6.877 states/eV per atom. The calculation puts the total DFT energy (no corrections) at -2.38 eV per atom.

Cell and atoms, written as POSCAR:
```
Cs3AsN
1.0
7.034 0.000 0.000
0.000 7.034 0.000
0.000 0.000 7.034
Cs As N
3 1 1
Cartesian
0.000 0.000 3.517 Cs
0.000 3.517 0.000 Cs
3.517 0.000 0.000 Cs
0.000 0.000 0.000 As
3.517 3.517 3.517 N
```



6.
Computed, not measured: a geometry-optimized CsAsN2 structure at the PBE level of DFT.

Output
The calculation puts the total moment at 0.00 μB/f.u. The value obtained for the offset from the most stable computed form is 0.317 eV/atom. The calculation puts the density of states at the Fermi level at 0.000 states/eV per atom. The calculation puts the total DFT energy (no corrections) at -4.92 eV per atom.

Cell and atoms, written as POSCAR:
```
CsAsN2
1.0
2.412 1.393 6.680
-2.412 1.393 6.680
0.000 -2.785 6.680
Cs As N
1 1 2
Cartesian
0.000 0.000 0.000 Cs
0.000 0.000 10.021 As
0.000 0.000 8.347 N
0.000 0.000 11.694 N
```



7.
Computed, not measured: a geometry-optimized CsAs3N structure at the PBE level of DFT.

Output
The calculation puts the total moment at 0.00 μB/f.u. The calculation puts the density of states at the Fermi level at 0.742 states/eV per atom. The calculation puts the total DFT energy (no corrections) at -3.74 eV per atom.

Cell and atoms, written as POSCAR:
```
CsAs3N
1.0
4.737 0.000 0.000
0.000 4.737 0.000
0.000 0.000 4.737
Cs As N
1 3 1
Cartesian
0.000 0.000 0.000 Cs
0.000 2.368 2.368 As
2.368 0.000 2.368 As
2.368 2.368 0.000 As
2.368 2.368 2.368 N
```



8.
Computed, not measured: a geometry-optimized CsAsN2 structure at the PBE level of DFT.

Output
The calculation puts the total moment at 0.00 μB/f.u. The value obtained for the offset from the most stable computed form is 0.321 eV/atom. The calculation puts the density of states at the Fermi level at 0.529 states/eV per atom. The calculation puts the total DFT energy (no corrections) at -4.92 eV per atom.

Cell and atoms, written as POSCAR:
```
CsAsN2
1.0
1.624 -7.724 0.000
1.624 7.724 0.000
0.000 0.000 6.960
Cs As N
2 2 4
Cartesian
1.624 6.640 5.220 Cs
1.624 -6.640 1.740 Cs
1.624 5.069 1.740 As
1.624 -5.069 5.220 As
1.624 1.646 4.437 N
1.624 1.646 6.002 N
1.624 -1.646 0.957 N
1.624 -1.646 2.523 N
```



9.
Computed, not measured: a geometry-optimized CsAsNO2 structure at the PBE level of DFT.

Output
The calculation puts the total moment at 0.00 μB/f.u. The calculation puts the density of states at the Fermi level at 0.642 states/eV per atom. The calculation puts the total DFT energy (no corrections) at -2.96 eV per atom.

Cell and atoms, written as POSCAR:
```
CsAsNO2
1.0
4.368 0.000 0.000
0.000 4.368 0.000
0.000 0.000 4.644
Cs As N O
1 1 1 2
Cartesian
0.000 0.000 0.000 Cs
2.184 2.184 2.322 As
0.000 0.000 2.322 N
0.000 2.184 0.000 O
2.184 0.000 0.000 O
```



10.
Computed, not measured: a geometry-optimized CsAs2PN structure at the PBE level of DFT.

Output
The calculation puts the total moment at 0.00 μB/f.u. The calculation puts the density of states at the Fermi level at 1.010 states/eV per atom. The calculation puts the total DFT energy (no corrections) at -3.73 eV per atom.

Cell and atoms, written as POSCAR:
```
CsAs2PN
1.0
4.388 0.000 0.000
0.000 4.388 0.000
0.000 0.000 5.870
Cs As P N
1 2 1 1
Cartesian
0.000 0.000 0.000 Cs
0.000 2.194 2.935 As
2.194 0.000 2.935 As
2.194 2.194 0.000 P
0.000 0.000 2.935 N
```



11.
Computed, not measured: a geometry-optimized CsAsS2N structure at the PBE level of DFT.

Output
The calculation puts the total moment at 0.00 μB/f.u. The calculation puts the density of states at the Fermi level at 1.770 states/eV per atom. The calculation puts the total DFT energy (no corrections) at -2.23 eV per atom.

Cell and atoms, written as POSCAR:
```
CsAsS2N
1.0
5.576 0.000 0.000
0.000 5.576 0.000
0.000 0.000 4.275
Cs As S N
1 1 2 1
Cartesian
0.000 0.000 0.000 Cs
2.788 2.788 2.137 As
0.000 2.788 0.000 S
2.788 0.000 0.000 S
0.000 0.000 2.137 N
```



12.
Computed, not measured: a geometry-optimized Cs3NaAs structure at the PBE level of DFT.

Output
The calculation puts the total moment at 0.99 μB/f.u. The value obtained for the offset from the most stable computed form is 0.614 eV/atom. The calculation puts the density of states at the Fermi level at 1.893 states/eV per atom. The calculation puts the total DFT energy (no corrections) at -1.32 eV per atom.

Cell and atoms, written as POSCAR:
```
Cs3NaAs
1.0
7.117 0.000 0.000
0.000 7.117 0.000
0.000 0.000 7.117
Cs Na As
3 1 1
Cartesian
0.000 0.000 3.559 Cs
0.000 3.559 0.000 Cs
3.559 0.000 0.000 Cs
0.000 0.000 0.000 Na
3.559 3.559 3.559 As
```



13.
Computed, not measured: a geometry-optimized Cs5Na3As3 structure at the PBE level of DFT.

Output
The calculation puts the total moment at 1.10 μB/f.u. The calculation puts the density of states at the Fermi level at 0.823 states/eV per atom. The calculation puts the total DFT energy (no corrections) at -2.27 eV per atom.

Cell and atoms, written as POSCAR:
```
Cs5Na3As3
1.0
11.326 0.000 0.000
-5.663 9.808 0.000
0.000 0.000 5.638
Cs Na As
5 3 3
Cartesian
-4.137 7.165 0.000 Cs
1.526 2.644 0.000 Cs
0.000 6.539 0.000 Cs
5.663 3.269 0.000 Cs
8.273 0.000 0.000 Cs
-2.093 3.625 2.819 Na
4.186 0.000 2.819 Na
3.570 6.183 2.819 Na
-2.070 3.586 0.000 As
4.141 0.000 0.000 As
3.593 6.222 0.000 As
```



14.
Computed, not measured: a geometry-optimized Cs2NaAs structure at the PBE level of DFT.

Output
The calculation puts the total moment at 0.00 μB/f.u. The calculation puts the density of states at the Fermi level at 1.138 states/eV per atom. The calculation puts the total DFT energy (no corrections) at -2.24 eV per atom.

Cell and atoms, written as POSCAR:
```
Cs2NaAs
1.0
2.643 1.526 8.387
-2.643 1.526 8.387
0.000 -3.051 8.387
Cs Na As
2 1 1
Cartesian
0.000 0.000 0.000 Cs
0.000 0.000 4.295 Cs
0.000 0.000 18.917 Na
0.000 0.000 10.530 As
```



15.
Computed, not measured: a geometry-optimized CsNaAs3 structure at the PBE level of DFT.

Output
The calculation puts the total moment at 0.00 μB/f.u. The value obtained for the offset from the most stable computed form is 0.000 eV/atom. The calculation puts the density of states at the Fermi level at 0.812 states/eV per atom. The calculation puts the total DFT energy (no corrections) at -2.67 eV per atom.

Cell and atoms, written as POSCAR:
```
CsNaAs3
1.0
5.351 0.000 0.000
0.000 5.351 0.000
0.000 0.000 5.351
Cs Na As
1 1 3
Cartesian
0.000 0.000 0.000 Cs
2.676 2.676 2.676 Na
0.000 2.676 2.676 As
2.676 0.000 2.676 As
2.676 2.676 0.000 As
```



16.
Computed, not measured: a geometry-optimized CsNaAs3 structure at the PBE level of DFT.

Output
The calculation puts the total moment at 0.00 μB/f.u. The value obtained for the offset from the most stable computed form is 0.712 eV/atom. The calculation puts the density of states at the Fermi level at 1.835 states/eV per atom. The calculation puts the total DFT energy (no corrections) at -1.96 eV per atom.

Cell and atoms, written as POSCAR:
```
CsNaAs3
1.0
5.885 0.000 0.000
0.000 5.885 0.000
0.000 0.000 5.885
Cs Na As
1 1 3
Cartesian
0.000 0.000 0.000 Cs
2.943 2.943 2.943 Na
0.000 0.000 2.943 As
0.000 2.943 0.000 As
2.943 0.000 0.000 As
```



17.
Computed, not measured: a geometry-optimized Cs2NaAs structure at the PBE level of DFT.

Output
The calculation puts the total moment at 0.00 μB/f.u. The calculation puts the density of states at the Fermi level at 0.201 states/eV per atom. The calculation puts the total DFT energy (no corrections) at -1.82 eV per atom.

Cell and atoms, written as POSCAR:
```
Cs2NaAs
1.0
-2.689 2.689 12.127
2.689 -2.689 12.127
2.689 2.689 -12.127
Cs Na As
4 2 2
Cartesian
4.033 1.325 -3.032 Cs
1.325 1.344 3.032 Cs
-1.344 1.364 9.095 Cs
1.364 1.344 15.158 Cs
2.689 0.000 6.063 Na
0.000 0.000 12.127 Na
0.000 0.000 0.000 As
0.000 2.689 6.063 As
```



18.
Computed, not measured: a geometry-optimized CsNa3As structure at the PBE level of DFT.

Output
The calculation puts the total moment at 0.00 μB/f.u. The value obtained for the offset from the most stable computed form is 1.065 eV/atom. The calculation puts the density of states at the Fermi level at 0.875 states/eV per atom. The calculation puts the total DFT energy (no corrections) at -1.05 eV per atom.

Cell and atoms, written as POSCAR:
```
CsNa3As
1.0
6.081 0.000 0.000
0.000 6.081 0.000
0.000 0.000 6.081
Cs Na As
1 3 1
Cartesian
0.000 0.000 0.000 Cs
0.000 0.000 3.040 Na
0.000 3.040 0.000 Na
3.040 0.000 0.000 Na
3.040 3.040 3.040 As
```



19.
Computed, not measured: a geometry-optimized CsNaAs structure at the PBE level of DFT.

Output
The calculation puts the total moment at 0.00 μB/f.u. The value obtained for the offset from the most stable computed form is 0.015 eV/atom. The calculation puts the density of states at the Fermi level at 0.923 states/eV per atom. The calculation puts the total DFT energy (no corrections) at -2.62 eV per atom.

Cell and atoms, written as POSCAR:
```
CsNaAs
1.0
2.545 1.470 12.199
-2.545 1.470 12.199
0.000 -2.939 12.199
Cs Na As
2 2 2
Cartesian
0.000 0.000 8.703 Cs
0.000 0.000 27.895 Cs
0.000 0.000 12.816 Na
0.000 0.000 23.782 Na
0.000 0.000 1.270 As
0.000 0.000 35.328 As
```



20.
Computed, not measured: a geometry-optimized Cs3NaAs structure at the PBE level of DFT.

Output
The calculation puts the total moment at 0.00 μB/f.u. The value obtained for the offset from the most stable computed form is 0.000 eV/atom. The calculation puts the density of states at the Fermi level at 0.345 states/eV per atom. The calculation puts the total DFT energy (no corrections) at -1.94 eV per atom.

Cell and atoms, written as POSCAR:
```
Cs3NaAs
1.0
9.675 0.000 0.000
0.000 9.653 0.000
-2.958 0.000 12.227
Cs Na As
12 4 4
Cartesian
-0.171 1.380 5.098 Cs
-1.650 3.447 11.212 Cs
-0.085 5.185 7.780 Cs
1.394 9.296 1.667 Cs
0.263 0.169 9.298 Cs
1.742 4.657 3.184 Cs
4.975 4.996 9.043 Cs
6.454 9.484 2.930 Cs
5.323 0.358 10.561 Cs
6.802 4.469 4.447 Cs
8.367 6.206 1.016 Cs
6.888 8.274 7.129 Cs
0.751 6.415 11.726 Na
2.230 8.065 5.612 Na
4.487 1.588 6.616 Na
5.966 3.238 0.502 Na
-1.826 7.131 10.637 As
-0.347 7.349 4.523 As
7.063 2.305 7.704 As
8.543 2.522 1.591 As
```